Density functional theory data (PBE) for an optimized crystal structure of AcZnCdRh.

Lattice parameters (Å, degrees): 5.0601 5.0601 5.0601 60.00 60.00 60.00
Last column: nearest neighbours and their distance in Å.
Positions (direct):
Ac1 0.0000 0.0000 0.0000  4 Rh 3.10, 4 Zn 3.10
Zn1 0.2500 0.2500 0.2500  4 Cd 3.10, 4 Ac 3.10
Cd1 0.5000 0.5000 0.5000  4 Rh 3.10, 4 Zn 3.10
Rh1 0.7500 0.7500 0.7500  4 Cd 3.10, 4 Ac 3.10

Output
Calculated density   9.20 g cm⁻³
Space-group type   F-43m, No. 216
Raw total energy   -14.5 eV/cell

=====

Density functional theory data (PBE) for an optimized crystal structure of Ac2CdRu.

Lattice parameters (Å, degrees): 5.4707 5.4707 5.4707 60.00 60.00 60.00
Last column: nearest neighbours and their distance in Å.
Positions (direct):
Ac1 0.2500 0.2500 0.2500  4 Cd 3.35, 4 Ru 3.35
Ac2 0.7500 0.7500 0.7500  4 Cd 3.35, 4 Ru 3.35
Cd1 0.0000 0.0000 0.0000  8 Ac 3.35
Ru1 0.5000 0.5000 0.5000  8 Ac 3.35

Output
Calculated density   9.57 g cm⁻³
Energy above the lowest structure with this stoichiometry   144 meV per atom
Space-group type   Fm-3m, No. 225
Raw total energy   -18.6 eV/cell

=====

Density functional theory data (PBE) for an optimized crystal structure of Ac7CdRu2.

Lattice parameters (Å, degrees): 8.9071 8.9071 5.4786 90.00 90.00 111.59
Last column: nearest neighbours and their distance in Å.
Positions (direct):
Ac1 0.0000 0.0000 0.0000  2 Ru 2.89
Ac2 0.1855 0.4496 0.0000  2 Ru 3.12-3.32
Ac3 0.2061 0.7939 0.5000  2 Ru 2.74
Ac4 0.4496 0.1855 0.0000  2 Ru 3.12-3.32
Ac5 0.5504 0.8145 0.0000  2 Ru 3.12-3.32
Ac6 0.7939 0.2061 0.5000  2 Ru 2.74
Ac7 0.8145 0.5504 0.0000  2 Ru 3.12-3.32
Cd1 0.5000 0.5000 0.5000  8 Ac 3.82
Ru1 0.1962 0.8038 0.0000  3 Ac 2.74-2.89
Ru2 0.8038 0.1962 0.0000  3 Ac 2.74-2.89

Output
Calculated density   7.82 g cm⁻³
Space-group type   Cmmm, No. 65
Raw total energy   -48.6 eV/cell

=====

Density functional theory data (PBE) for an optimized crystal structure of Ac8Cd3Ru2.

Lattice parameters (Å, degrees): 9.4419 9.4419 7.0772 90.43 90.43 53.54
Last column: nearest neighbours and their distance in Å.
Positions (direct):
Ac1 0.1061 0.5897 0.1673  2 Ru 2.92-2.97
Ac2 0.1318 0.1318 0.3326  1 Ru 2.88
Ac3 0.3373 0.3373 0.6701  1 Ru 2.98
Ac4 0.4103 0.8939 0.8327  2 Ru 2.92-2.97
Ac5 0.5897 0.1061 0.1673  2 Ru 2.92-2.97
Ac6 0.6627 0.6627 0.3299  1 Ru 2.98
Ac7 0.8682 0.8682 0.6674  1 Ru 2.88
Ac8 0.8939 0.4103 0.8327  2 Ru 2.92-2.97
Cd1 0.3050 0.6950 0.5000  1 Cd 3.32, 6 Ac 3.43-3.62
Cd2 0.5000 0.5000 0.0000  6 Ac 3.50-3.59, 4 Cd 3.91
Cd3 0.6950 0.3050 0.5000  1 Cd 3.32, 6 Ac 3.43-3.62
Ru1 0.2373 0.2373 0.0153  6 Ac 2.88-2.98
Ru2 0.7627 0.7627 0.9847  6 Ac 2.88-2.98

Output
Calculated density   7.71 g cm⁻³
Space-group type   C2/m, No. 12
Raw total energy   -55.9 eV/cell

=====

Density functional theory data (PBE) for an optimized crystal structure of Ac6Cd2Ru.

Lattice parameters (Å, degrees): 7.6588 8.0009 13.6145 90.00 123.64 90.00
Last column: nearest neighbours and their distance in Å.
Positions (direct):
Ac1 0.1506 0.1978 0.4575  1 Ru 2.88
Ac2 0.1506 0.3022 0.9575  1 Ru 2.88
Ac3 0.2645 0.6947 0.4582  1 Ru 2.90
Ac4 0.2645 0.8053 0.9582  1 Ru 2.90
Ac5 0.3466 0.0053 0.2524  1 Ru 2.89
Ac6 0.3466 0.4947 0.7524  1 Ru 2.89
Ac7 0.6534 0.5053 0.2476  1 Ru 2.89
Ac8 0.6534 0.9947 0.7476  1 Ru 2.89
Ac9 0.7355 0.1947 0.0418  1 Ru 2.90
Ac10 0.7355 0.3053 0.5418  1 Ru 2.90
Ac11 0.8494 0.6978 0.0425  1 Ru 2.88
Ac12 0.8494 0.8022 0.5425  1 Ru 2.88
Cd1 0.2101 0.0804 0.7460  7 Ac 3.43-3.81
Cd2 0.2101 0.4196 0.2460  7 Ac 3.43-3.81
Cd3 0.7899 0.5804 0.7540  7 Ac 3.43-3.81
Cd4 0.7899 0.9196 0.2540  7 Ac 3.43-3.81
Ru1 0.5000 0.0000 0.5000  6 Ac 2.88-2.90
Ru2 0.5000 0.5000 0.0000  6 Ac 2.88-2.90

Output
Calculated density   8.07 g cm⁻³
Space-group type   P2_1/c, No. 14
Raw total energy   -74.5 eV/cell

=====

Density functional theory data (PBE) for an optimized crystal structure of Ac4CdRu.

Lattice parameters (Å, degrees): 10.5014 10.5014 10.5014 60.00 60.00 60.00
Last column: nearest neighbours and their distance in Å.
Positions (direct):
Ac1 0.0360 0.6547 0.6547  3 Ru 3.11
Ac2 0.0603 0.0603 0.4397  2 Cd 3.62, 10 Ac 3.77-3.98, 2 Ru 3.77
Ac3 0.0603 0.4397 0.0603  2 Cd 3.62, 10 Ac 3.77-3.98, 2 Ru 3.77
Ac4 0.0603 0.4397 0.4397  2 Cd 3.62, 10 Ac 3.77-3.98, 2 Ru 3.77
Ac5 0.1892 0.1892 0.8108  2 Ru 2.99
Ac6 0.1892 0.8108 0.1892  2 Ru 2.99
Ac7 0.1892 0.8108 0.8108  2 Ru 2.99
Ac8 0.4397 0.0603 0.0603  2 Cd 3.62, 10 Ac 3.77-3.98, 2 Ru 3.77
Ac9 0.4397 0.0603 0.4397  2 Cd 3.62, 10 Ac 3.77-3.98, 2 Ru 3.77
Ac10 0.4397 0.4397 0.0603  2 Cd 3.62, 10 Ac 3.77-3.98, 2 Ru 3.77
Ac11 0.6547 0.0360 0.6547  3 Ru 3.11
Ac12 0.6547 0.6547 0.0360  3 Ru 3.11
Ac13 0.6547 0.6547 0.6547  3 Ru 3.11
Ac14 0.8108 0.1892 0.1892  2 Ru 2.99
Ac15 0.8108 0.1892 0.8108  2 Ru 2.99
Ac16 0.8108 0.8108 0.1892  2 Ru 2.99
Cd1 0.4221 0.4221 0.4221  3 Cd 3.27, 3 Ac 3.62
Cd2 0.4221 0.4221 0.7336  3 Cd 3.27, 3 Ac 3.62
Cd3 0.4221 0.7336 0.4221  3 Cd 3.27, 3 Ac 3.62
Cd4 0.7336 0.4221 0.4221  3 Cd 3.27, 3 Ac 3.62
Ru1 0.4127 0.8624 0.8624  6 Ac 2.99-3.11
Ru2 0.8624 0.4127 0.8624  6 Ac 2.99-3.11
Ru3 0.8624 0.8624 0.4127  6 Ac 2.99-3.11
Ru4 0.8624 0.8624 0.8624  6 Ac 2.99-3.11

Output
Calculated density   9.10 g cm⁻³
Energy above the lowest structure with this stoichiometry   0 meV per atom
Space-group type   F-43m, No. 216
Raw total energy   -111.9 eV/cell

=====

Density functional theory data (PBE) for an optimized crystal structure of Ac4Cd2Ru.

Lattice parameters (Å, degrees): 6.6895 7.2734 10.3689 90.00 102.06 90.00
Last column: nearest neighbours and their distance in Å.
Positions (direct):
Ac1 0.1886 0.2500 0.0997  1 Ru 2.85
Ac2 0.2429 0.0008 0.7502  1 Ru 2.80
Ac3 0.2429 0.4992 0.7502  1 Ru 2.80
Ac4 0.3039 0.7500 0.4112  1 Ru 2.80
Ac5 0.6961 0.2500 0.5888  1 Ru 2.80
Ac6 0.7571 0.5008 0.2498  1 Ru 2.80
Ac7 0.7571 0.9992 0.2498  1 Ru 2.80
Ac8 0.8114 0.7500 0.9003  1 Ru 2.85
Cd1 0.1632 0.2500 0.4479  9 Ac 3.55-3.80
Cd2 0.3571 0.7500 0.0472  1 Ru 2.78
Cd3 0.6429 0.2500 0.9528  1 Ru 2.78
Cd4 0.8368 0.7500 0.5521  9 Ac 3.55-3.80
Ru1 0.0244 0.7500 0.1685  1 Cd 2.78, 4 Ac 2.80-2.85
Ru2 0.9756 0.2500 0.8315  1 Cd 2.78, 4 Ac 2.80-2.85

Output
Calculated density   8.31 g cm⁻³
Energy above the lowest structure with this stoichiometry   80 meV per atom
Space-group type   P2_1/m, No. 11
Raw total energy   -57.2 eV/cell

=====

Density functional theory data (PBE) for an optimized crystal structure of Ac2CdRu.

Lattice parameters (Å, degrees): 8.7491 8.7491 8.7491 28.50 28.50 28.50
Last column: nearest neighbours and their distance in Å.
Positions (direct):
Ac1 0.0000 0.0000 0.0000  3 Ru 2.94
Ac2 0.2074 0.2074 0.2074  3 Ru 2.96
Cd1 0.7697 0.7697 0.7697  6 Ac 3.59-3.62
Ru1 0.6042 0.6042 0.6042  6 Ac 2.94-2.96

Output
Calculated density   8.22 g cm⁻³
Energy above the lowest structure with this stoichiometry   43 meV per atom
Space-group type   R3m, No. 160
Raw total energy   -19.0 eV/cell

=====

Density functional theory data (PBE) for an optimized crystal structure of Ac7Cd2Ru2.

Lattice parameters (Å, degrees): 7.4706 7.4706 7.6722 90.00 90.00 110.69
Last column: nearest neighbours and their distance in Å.
Positions (direct):
Ac1 0.0000 0.0000 0.0000  2 Ru 3.72, 4 Cd 4.09
Ac2 0.0000 0.5000 0.2512  2 Ru 2.94
Ac3 0.0000 0.5000 0.7488  2 Ru 2.94
Ac4 0.5000 0.0000 0.2512  2 Ru 2.94
Ac5 0.5000 0.0000 0.7488  2 Ru 2.94
Ac6 0.5000 0.5000 0.2419  2 Ru 3.05
Ac7 0.5000 0.5000 0.7581  2 Ru 3.05
Cd1 0.1659 0.1659 0.5000  1 Cd 2.82
Cd2 0.8341 0.8341 0.5000  1 Cd 2.82
Ru1 0.3027 0.6973 0.0000  6 Ac 2.94-3.05
Ru2 0.6973 0.3027 0.0000  6 Ac 2.94-3.05

Output
Calculated density   8.36 g cm⁻³
Energy above the lowest structure with this stoichiometry   0 meV per atom
Space-group type   Cmmm, No. 65
Raw total energy   -50.7 eV/cell

=====

Density functional theory data (PBE) for an optimized crystal structure of Ac2CdRu.

Lattice parameters (Å, degrees): 10.6630 10.6630 10.6630 22.90 22.90 22.90
Last column: nearest neighbours and their distance in Å.
Positions (direct):
Ac1 0.1154 0.1154 0.1154  3 Ru 2.92
Ac2 0.8846 0.8846 0.8846  3 Ru 2.92
Cd1 0.0000 0.0000 0.0000  2 Ac 3.59
Ru1 0.5000 0.5000 0.5000  6 Ac 2.92

Output
Calculated density   6.88 g cm⁻³
Energy above the lowest structure with this stoichiometry   210 meV per atom
Space-group type   R-3m, No. 166
Raw total energy   -18.3 eV/cell